one.
Ca2PrCd3 | PBE | relaxed

Unit cell a=5.442 b=5.442 c=6.701 alpha=90.00 beta=90.00 gamma=120.00
Positions (direct):
Ca (0.333, 0.667, 0.162)
Ca (0.667, 0.333, 0.838)
Pr (0.000, 0.000, 0.500)
Cd (0.000, 0.000, 0.000)
Cd (0.333, 0.667, 0.664)
Cd (0.667, 0.333, 0.336)

Values from the calculation:
- SG: P-3m1, No. 164
- Crystal system: trigonal

two.
Ca2PrCd3 | PBE | relaxed

Unit cell a=3.808 b=3.808 c=11.844 alpha=90.00 beta=90.00 gamma=90.00
Positions (direct):
Ca (0.000, 0.000, 0.163)
Ca (0.000, 0.000, 0.837)
Pr (0.000, 0.000, 0.500)
Cd (0.500, 0.500, 0.000)
Cd (0.500, 0.500, 0.330)
Cd (0.500, 0.500, 0.670)

Values from the calculation:
- SG: P4/mmm, No. 123
- Crystal system: tetragonal

Stability order, top to bottom: one, two